# 1
PaMnCoN3 | Alexandria via LeMat-Bulk | PBE-GGA | relaxed; uncorrected formation energy = -0.618 eV per atom; spin magnetization = 0.000 μB/cell
1.0
5.9178 0.0000 0.0000
0.0000 3.2532 0.0000
-1.9326 0.0000 6.6360
Pa Mn Co N
2 2 2 6
direct
0.2191 0.2500 0.2225
0.7809 0.7500 0.7775
0.3212 0.7500 0.8459
0.6788 0.2500 0.1541
0.1205 0.2500 0.5996
0.8795 0.7500 0.4004
0.0968 0.2500 0.8709
0.2458 0.7500 0.5320
0.4569 0.7500 0.1429
0.5431 0.2500 0.8571
0.7542 0.2500 0.4680
0.9032 0.7500 0.1291

# 2
Nb2ZnPt | Alexandria via LeMat-Bulk | PBE-GGA | relaxed; spin magnetization = 0.000 μB/cell; energy relative to the elements = 0.122 eV/atom
1.0
-3.7173 3.7173 2.6226
3.7173 -3.7173 2.6226
3.7173 3.7173 -2.6226
Nb Zn Pt
4 2 2
direct
0.1077 0.6250 0.9827
0.3750 0.3577 0.4827
0.6423 0.1250 0.0173
0.8750 0.8923 0.5173
0.2500 0.7500 0.5000
0.5000 0.5000 0.0000
0.0000 0.0000 0.0000
0.7500 0.2500 0.5000

# 3
Li4Ac2SnAu3 | Alexandria via LeMat-Bulk | PBE-GGA | relaxed; spin magnetization = 0.000 μB/cell; energy relative to the elements = -0.553 eV/atom
1.0
4.4328 0.0000 0.0000
0.0000 4.4328 0.0000
0.0000 0.0000 11.4818
Li Ac Sn Au
4 2 1 3
direct
0.0000 0.0000 0.0000
0.0000 0.5000 0.3697
0.5000 0.0000 0.6303
0.5000 0.5000 0.0000
0.0000 0.5000 0.7450
0.5000 0.0000 0.2550
0.5000 0.5000 0.5000
0.0000 0.0000 0.5000
0.0000 0.5000 0.1400
0.5000 0.0000 0.8600

# 4
CsNaGa2Ag | Alexandria via LeMat-Bulk | PBE-GGA | relaxed; spin magnetization = 0.000 μB/cell; energy relative to the elements = 0.099 eV/atom
1.0
5.1472 0.0000 0.0000
0.0000 5.1472 0.0000
0.0000 0.0000 5.8404
Cs Na Ga Ag
1 1 2 1
direct
0.0000 0.0000 0.0000
0.5000 0.5000 0.0000
0.0000 0.5000 0.5000
0.5000 0.0000 0.5000
0.5000 0.5000 0.5000

# 5
PuMgCdO4 | Alexandria via LeMat-Bulk | PBE-GGA | relaxed; uncorrected formation energy = -2.301 eV per atom; spin magnetization = 7.984 μB/cell
1.0
-3.2113 3.4478 4.5223
3.2113 -3.4478 4.5223
3.2113 3.4478 -4.5223
Pu Mg Cd O
2 2 2 8
direct
0.0000 0.0000 0.0000
0.5000 0.0000 0.5000
0.5000 0.0000 0.0000
0.5000 0.5000 0.5000
0.1108 0.3608 0.7500
0.8892 0.6392 0.2500
0.2621 0.2372 0.4751
0.2621 0.7870 0.0249
0.2765 0.2393 0.0372
0.2979 0.7607 0.5372
0.7021 0.2393 0.4628
0.7235 0.7607 0.9628
0.7379 0.2130 0.9751
0.7379 0.7628 0.5249

# 6
ScHS2 | Alexandria via LeMat-Bulk | PBE-GGA | relaxed; final energy = -5.0990 eV/atom; spin magnetization = 0.000 μB/cell
1.0
-2.6769 2.6769 5.1450
2.6769 -2.6769 5.1450
2.6769 2.6769 -5.1450
Sc H S
2 2 4
direct
0.0000 0.0000 0.0000
0.7500 0.2500 0.5000
0.2500 0.7500 0.5000
0.5000 0.5000 0.0000
0.1750 0.6250 0.0500
0.3750 0.4250 0.5500
0.5750 0.1250 0.9500
0.8750 0.8250 0.4500

# 7
TlAg7Br12 | Alexandria via LeMat-Bulk | PBE-GGA | relaxed; uncorrected formation energy = -0.308 eV per atom; spin magnetization = 0.001 μB/cell
1.0
-5.2137 5.2137 5.2137
5.2137 -5.2137 5.2137
5.2137 5.2137 -5.2137
Tl Ag Br
1 7 12
direct
0.0000 0.0000 0.0000
0.0000 0.0000 0.5000
0.0000 0.5000 0.0000
0.0000 0.5000 0.5000
0.5000 0.0000 0.0000
0.5000 0.0000 0.5000
0.5000 0.5000 0.0000
0.5000 0.5000 0.5000
0.1366 0.8238 0.3129
0.1762 0.3129 0.4891
0.1762 0.6871 0.8634
0.3129 0.1366 0.8238
0.3129 0.4891 0.1762
0.4891 0.1762 0.3129
0.5109 0.8238 0.6871
0.6871 0.5109 0.8238
0.6871 0.8634 0.1762
0.8238 0.3129 0.1366
0.8238 0.6871 0.5109
0.8634 0.1762 0.6871

# 8
CsNa2InHg | Alexandria via LeMat-Bulk | PBE-GGA | relaxed; spin magnetization = 0.000 μB/cell; energy relative to the elements = -0.075 eV/atom
1.0
6.1142 0.0000 0.0000
0.0000 6.1142 0.0000
0.0000 0.0000 5.7882
Cs Na In Hg
1 2 1 1
direct
0.0000 0.0000 0.0000
0.0000 0.5000 0.5000
0.5000 0.0000 0.5000
0.5000 0.5000 0.5000
0.5000 0.5000 0.0000